Record 1
## MnCoNi2H (PBE)

Data for a relaxed structure of MnCoNi2H.

Symmetry: P4/mmm
DFT total energy: -6.255 eV per atom
ΔE to the lowest computed polymorph: 19 meV per atom

```
MnCoNi2H
1.0
3.5536 0.0000 0.0000
0.0000 3.5536 0.0000
0.0000 0.0000 3.7885
Mn Co Ni H
1 1 2 1
direct
0.0000 0.0000 0.0000
0.5000 0.5000 0.0000
0.0000 0.5000 0.5000
0.5000 0.0000 0.5000
0.0000 0.0000 0.5000
```

=====

Record 2
## Na2ErGeSe4 (PBE)

Data for a relaxed structure of Na2ErGeSe4.

Symmetry: Imma
DFT total energy: -4.308 eV per atom
Formation energy (no corrections): -105 kJ/mol of atoms

```
Na2ErGeSe4
1.0
-4.0267 4.1528 5.8178
4.0267 -4.1528 5.8178
4.0267 4.1528 -5.8178
Na Er Ge Se
4 2 2 8
direct
0.0000 0.0000 0.0000
0.5000 0.0000 0.0000
0.5000 0.0000 0.5000
0.5000 0.5000 0.5000
0.0000 0.5000 0.5000
0.5000 0.5000 0.0000
0.0000 0.0000 0.5000
0.0000 0.5000 0.0000
0.2217 0.7445 0.4772
0.2326 0.2555 0.9772
0.2374 0.2463 0.5089
0.2374 0.7285 0.9911
0.7626 0.2715 0.0089
0.7626 0.7537 0.4911
0.7674 0.7445 0.0228
0.7783 0.2555 0.5228
```

=====

Record 3
## Nd2Dy2Se3S2 (PBE)

Data for a relaxed structure of Nd2Dy2Se3S2.

Symmetry: I4/mmm
DFT total energy: -5.698 eV per atom
Formation energy (no corrections): -148 kJ/mol of atoms

```
Nd2Dy2Se3S2
1.0
-2.8213 2.8213 7.2418
2.8213 -2.8213 7.2418
2.8213 2.8213 -7.2418
Nd Dy Se S
2 2 3 2
direct
0.2116 0.2116 0.0000
0.7884 0.7884 0.0000
0.0000 0.5000 0.5000
0.5000 0.0000 0.5000
0.0000 0.0000 0.0000
0.2500 0.7500 0.5000
0.7500 0.2500 0.5000
0.4029 0.4029 0.0000
0.5971 0.5971 0.0000
```

=====

Record 4
## Li4Cd7Au (PBE)

Data for a relaxed structure of Li4Cd7Au.

Symmetry: C2/m
DFT total energy: -1.584 eV per atom
ΔE to the lowest computed polymorph: 106 meV per atom
E_form: -0.1396 eV per atom

```
Li4Cd7Au
1.0
7.0316 -2.5784 0.0000
7.0316 2.5784 0.0000
-4.2965 0.0000 6.9173
Li Cd Au
4 7 1
direct
0.0770 0.0770 0.4287
0.2282 0.2282 0.2389
0.7718 0.7718 0.7611
0.9230 0.9230 0.5713
0.0000 0.0000 0.0000
0.2035 0.2035 0.8634
0.3127 0.3127 0.6222
0.4376 0.4376 0.2845
0.5624 0.5624 0.7155
0.6873 0.6873 0.3778
0.7965 0.7965 0.1366
0.5000 0.5000 0.0000
```

=====

Record 5
## LaHg2As (PBE)

Data for a relaxed structure of LaHg2As.

Symmetry: P4/mmm
DFT total energy: -2.870 eV per atom
E_form: -0.3249 eV per atom

```
LaHg2As
1.0
4.0672 0.0000 0.0000
0.0000 4.0672 0.0000
0.0000 0.0000 6.3010
La Hg As
1 2 1
direct
0.0000 0.0000 0.0000
0.5000 0.5000 0.2704
0.5000 0.5000 0.7296
0.0000 0.0000 0.5000
```

=====

Record 6
## KSn3Te4 (PBE)

Data for a relaxed structure of KSn3Te4.

Symmetry: Cmmm
DFT total energy: -3.601 eV per atom
Formation energy (no corrections): -38 kJ/mol of atoms

```
KSn3Te4
1.0
4.7318 -6.4909 0.0000
4.7318 6.4909 0.0000
0.0000 0.0000 4.4202
K Sn Te
1 3 4
direct
0.0000 0.0000 0.0000
0.0000 0.5000 0.5000
0.5000 0.0000 0.5000
0.5000 0.5000 0.0000
0.2598 0.7402 0.0000
0.2729 0.2729 0.5000
0.7271 0.7271 0.5000
0.7402 0.2598 0.0000
```

=====

Record 7
## Y7Se5S (PBE)

Data for a relaxed structure of Y7Se5S.

Symmetry: C2/m
DFT total energy: -6.733 eV per atom
Formation energy (no corrections): -154 kJ/mol of atoms

```
Y7Se5S
1.0
6.6424 -1.9738 0.0000
6.6424 1.9738 0.0000
-0.7345 0.0000 24.4605
Y Se S
14 10 2
direct
0.0399 0.0399 0.2521
0.1366 0.1366 0.9616
0.1429 0.1429 0.5386
0.2873 0.2873 0.3177
0.3047 0.3047 0.1786
0.4067 0.4067 0.8825
0.4276 0.4276 0.6108
0.5724 0.5724 0.3892
0.5933 0.5933 0.1175
0.6953 0.6953 0.8214
0.7127 0.7127 0.6823
0.8571 0.8571 0.4614
0.8634 0.8634 0.0384
0.9601 0.9601 0.7479
0.0511 0.0511 0.8538
0.0700 0.0700 0.6472
0.2155 0.2155 0.4278
0.2215 0.2215 0.0712
0.5000 0.5000 0.0000
0.5000 0.5000 0.5000
0.7785 0.7785 0.9288
0.7845 0.7845 0.5722
0.9300 0.9300 0.3528
0.9489 0.9489 0.1462
0.3155 0.3155 0.7746
0.6845 0.6845 0.2254
```